# SrBe4Mo3O12

A relaxed structure of SrBe4Mo3O12 (PBE+U, the Alexandria database).

VASP energy: -140.086 eV/f.u.
V: 11.562 Å³ per atom
M_tot: 0.200 μB per atom

a b c (Å): 10.1991 10.1991 7.7006
angles (deg): 90.00 90.00 120.00
Space group R32 (No. 155, hexagonal axes)
Symmetry-distinct sites (fractional):
Sr1 0.0000 0.0000 0.0000 (multiplicity 3)
Be1 0.0000 0.0000 0.5000 (multiplicity 3)
Be2 0.0000 0.4402 0.5000 (multiplicity 9)
Mo1 0.0000 0.5531 0.0000 (multiplicity 9)
O1 0.0000 0.5930 0.5000 (multiplicity 9)
O2 0.0000 0.8483 0.5000 (multiplicity 9)
O3 0.0425 0.2235 0.1898 (multiplicity 18)